1.
Crystalline KZnPt2 at its relaxed geometry, computed with PBE.

```
4
Lattice="2.942 0.016 0.000 -0.016 2.942 0.000 0.000 0.000 8.561" Properties=species:S:1:pos:R:3 pbc="T T T"
Pt 0.000 0.000 0.485
Pt 0.000 0.000 3.796
K 1.463 1.479 6.421
Zn 1.463 1.479 2.140
```

Results
Volume   74 Å³ per cell
Energy of formation from the pure elements   -0.179 eV per atom
Total moment   0.0 μB/f.u.
SG   P4/mmm (123)

=====

2.
Crystalline KZnPt2 at its relaxed geometry, computed with PBE.

```
4
Lattice="4.536 0.000 0.000 0.000 2.812 -0.215 0.000 0.564 7.064" Properties=species:S:1:pos:R:3 pbc="T T T"
Pt 2.268 1.159 1.167
Pt 0.000 2.540 0.729
Zn 0.000 1.297 2.984
K 2.268 2.879 5.179
```

Results
Volume   91 Å³ per cell
Energy of formation from the pure elements   -0.086 eV per atom
Total moment   0.0 μB/f.u.
SG   Pm (6)